Record 1
Material: CdSiAg2
Method: DFT, GGA-PBE
State: relaxed

```
4
Lattice="-1.493 2.613 4.761 1.493 -2.613 4.761 1.493 2.613 -4.761" Properties=species:S:1:pos:R:3 pbc="T T T"
Cd 0.000 0.000 0.000
Si 0.000 0.000 4.761
Ag 1.493 0.000 2.559
Ag 0.000 2.613 2.202
```

For the size of the total moment, the calculation gives 0.000 μB/cell. For the uncorrected formation energy, the calculation gives 221 meV/atom. Its total energy is -2.790 eV/atom. The calculation puts the density of states at the Fermi level at 0.208 states/eV/atom. As for the space-group type: No. 71. The value obtained for the energy above the most stable polymorph in this dataset is 97 meV/atom.



Record 2
Material: LiTm2P
Method: DFT, GGA-PBE
State: relaxed

```
4
Lattice="1.849 1.068 9.721 -1.849 1.068 9.721 0.000 -2.135 9.721" Properties=species:S:1:pos:R:3 pbc="T T T"
Li 0.000 0.000 0.000
Tm 0.000 0.000 3.247
Tm 0.000 0.000 25.917
P 0.000 0.000 14.582
```

For the size of the total moment, the calculation gives 0.000 μB/cell. Its total energy is -4.577 eV/atom. The calculation puts the density of states at the Fermi level at 0.687 states/eV/atom. As for the space-group type: No. 166. The formation energy comes out at -0.511 eV/atom.



Record 3
Material: Mg2CdAg5
Method: DFT, GGA-PBE
State: relaxed

```
8
Lattice="6.322 0.000 0.000 0.000 6.322 0.000 0.000 0.000 5.030" Properties=species:S:1:pos:R:3 pbc="T T T"
Mg 0.000 3.161 0.000
Mg 3.161 0.000 0.000
Cd 0.000 0.000 2.515
Ag 0.000 0.000 0.000
Ag 1.839 1.839 2.515
Ag 1.839 4.484 2.515
Ag 4.484 1.839 2.515
Ag 4.484 4.484 2.515
```

For the size of the total moment, the calculation gives 0.000 μB/cell. Its total energy is -1.944 eV/atom. The calculation puts the density of states at the Fermi level at 0.198 states/eV/atom. As for the space-group type: No. 123. The value obtained for the energy above the most stable polymorph in this dataset is 509 meV/atom. The formation energy comes out at 0.351 eV/atom.



Record 4
Material: Sr2TePt
Method: DFT, GGA-PBE
State: relaxed

```
4
Lattice="0.000 3.820 3.820 3.820 0.000 3.820 3.820 3.820 0.000" Properties=species:S:1:pos:R:3 pbc="T T T"
Sr 0.000 0.000 0.000
Sr 1.910 1.910 1.910
Te 3.820 3.820 3.820
Pt 5.730 5.730 5.730
```

For the size of the total moment, the calculation gives 0.000 μB/cell. For the uncorrected formation energy, the calculation gives -507 meV/atom. Its total energy is -3.644 eV/atom. The calculation puts the density of states at the Fermi level at 0.420 states/eV/atom. As for the space-group type: No. 216. The value obtained for the energy above the most stable polymorph in this dataset is 643 meV/atom.



Record 5
Material: La3Tb5Tm2
Method: DFT, GGA-PBE
State: relaxed

```
20
Lattice="9.525 0.000 0.000 -2.744 9.128 0.000 -4.043 -4.072 7.621" Properties=species:S:1:pos:R:3 pbc="T T T"
La -0.324 3.084 0.224
La -1.727 6.940 3.222
La -2.365 4.597 5.902
La 5.103 0.459 1.719
La 4.466 -1.883 4.399
La 3.062 1.972 7.397
Tb -3.706 1.356 5.136
Tb -1.004 0.747 2.894
Tb 1.691 0.182 0.576
Tb 1.045 6.327 0.951
Tb -0.324 1.647 6.282
Tb 3.062 3.409 1.339
Tb 1.693 -1.271 6.670
Tb 1.047 4.874 7.045
Tb 3.742 4.309 4.727
Tb 6.445 3.700 2.485
Tm -1.672 -1.575 5.529
Tm 0.378 3.958 3.626
Tm 2.360 1.098 3.995
Tm 4.411 6.632 2.093
```

For the size of the total moment, the calculation gives 0.000 μB/cell. Its total energy is -4.657 eV/atom. The calculation puts the density of states at the Fermi level at 1.577 states/eV/atom. As for the space-group type: No. 2. The formation energy comes out at 0.030 eV/atom.



Record 6
Material: Na2HgCl4
Method: DFT, GGA-PBE
State: relaxed

```
7
Lattice="7.066 -2.087 0.000 7.066 2.087 0.000 -3.139 0.000 6.272" Properties=species:S:1:pos:R:3 pbc="T T T"
Na 2.392 0.000 1.387
Na 8.601 0.000 4.885
Hg 5.496 0.000 3.136
Cl -0.485 0.000 4.907
Cl 3.285 0.000 4.236
Cl 7.708 0.000 2.036
Cl 11.477 0.000 1.365
```

For the size of the total moment, the calculation gives 0.000 μB/cell. For the uncorrected formation energy, the calculation gives -1254 meV/atom. Its total energy is -2.730 eV/atom. The calculation puts the density of states at the Fermi level at 0.000 states/eV/atom. As for the space-group type: No. 12. The value obtained for the energy above the most stable polymorph in this dataset is 9 meV/atom.



Question: size of the total moment of number 4 (Sr2TePt)?
Answer: 0.000 μB/cell